No. 1
The following is a DFT calculation (GGA-PBE) of crystalline Ca2MgSe at its relaxed geometry.

Lattice parameters (Å, degrees): 4.0034 4.0034 27.0618 90.00 90.00 120.00
With the nearest neighbours (Å) after each atom.
Space group R-3m (No. 166, hexagonal axes)
Inequivalent atoms, fractional coordinates:
Ca (0.0000, 0.0000, 0.2329) x6  3 Se 2.92
Mg (0.0000, 0.0000, 0.0000) x3  6 Ca 3.57
Se (0.0000, 0.0000, 0.5000) x3  6 Ca 2.92

Distance to the lowest polymorph of the same formula, meV per atom: 0
Energy relative to the elements, uncorrected, eV/f.u.: -3.547
DOS(E_F), states/eV per cell: 9.2
VASP energy, eV/atom: -3.157

***

No. 2
The following is a DFT calculation (GGA-PBE) of crystalline NdSm5Ho2Er at its relaxed geometry.

Lattice parameters (Å, degrees): 5.6326 20.2226 10.7032 90.00 90.00 90.00
With the nearest neighbours (Å) after each atom.
Space group Cmc2_1 (No. 36)
Inequivalent atoms, fractional coordinates:
Nd (0.0000, 0.2017, 0.0000) x4  2 Ho 3.45-3.73, 8 Sm 3.51-3.86, 2 Er 3.67
Sm (0.0000, 0.0168, 0.0138) x4  2 Er 3.25, 3 Ho 3.44-3.59
Sm (0.0000, 0.2816, 0.2976) x4  1 Er 3.08, 1 Ho 3.36, 2 Sm 3.43
Sm (0.0000, 0.2983, 0.6953) x4  3 Sm 3.43-3.68, 1 Er 3.50, 3 Nd 3.51-3.80, 3 Ho 3.52-3.83
Sm (0.0000, 0.3926, 0.0153) x4  5 Sm 3.47-3.77, 4 Ho 3.59-3.62, 1 Nd 3.86
Sm (0.0000, 0.4794, 0.7318) x4  2 Er 3.20-3.33, 2 Sm 3.47-3.51, 2 Ho 3.51
Ho (0.0000, 0.1097, 0.7284) x4  7 Sm 3.44-3.83, 1 Nd 3.45, 2 Er 3.69
Ho (0.0000, 0.1157, 0.3082) x4  9 Sm 3.36-3.73, 1 Nd 3.73
Er (0.0000, 0.4113, 0.4481) x4  5 Sm 3.08-3.33

Energy relative to the elements, eV/atom: 0.1484
DOS(E_F), states/eV per cell: 56.8
VASP energy, eV/atom: -4.527

***

No. 3
The following is a DFT calculation (GGA-PBE) of crystalline SnAs2Se at its relaxed geometry.

Lattice parameters (Å, degrees): 7.0006 7.0006 7.0006 90.00 90.00 90.00
With the nearest neighbours (Å) after each atom.
Space group Fm-3m (No. 225)
Inequivalent atoms, fractional coordinates:
Sn (0.0000, 0.0000, 0.0000) x4  8 As 3.03
As (0.2500, 0.2500, 0.2500) x8  4 Se 3.03, 4 Sn 3.03
Se (0.0000, 0.0000, 0.5000) x4  8 As 3.03

Distance to the lowest polymorph of the same formula, meV per atom: 142
Energy relative to the elements, uncorrected, eV/f.u.: 1.369
DOS(E_F), states/eV per cell: 9.7
VASP energy, eV/atom: -3.854

***

No. 4
The following is a DFT calculation (GGA-PBE) of crystalline Y4Pt at its relaxed geometry.

Lattice parameters (Å, degrees): 6.7964 6.7964 6.7964 90.00 90.00 90.00
With the nearest neighbours (Å) after each atom.
Space group Im-3m (No. 229)
Inequivalent atoms, fractional coordinates:
Y (0.2500, 0.2500, 0.2500) x8  2 Pt 2.94
Pt (0.0000, 0.0000, 0.0000) x2  8 Y 2.94

Energy relative to the elements, eV/atom: -0.1457
Distance to the lowest polymorph of the same formula, meV per atom: 350
DOS(E_F), states/eV per cell: 15.0
VASP energy, eV/atom: -6.525

***

No. 5
The following is a DFT calculation (GGA-PBE) of crystalline NbCrTc at its relaxed geometry.

Lattice parameters (Å, degrees): 4.4079 4.3277 9.3536 90.00 90.00 90.00
With the nearest neighbours (Å) after each atom.
Space group Amm2 (No. 38)
Inequivalent atoms, fractional coordinates:
Nb (0.0000, 0.0000, 0.0000) x2  4 Tc 2.64-2.68, 2 Cr 2.66, 2 Nb 2.76
Nb (0.5000, 0.0000, 0.1782) x2  4 Cr 2.65-2.71, 2 Tc 2.67, 2 Nb 2.76
Cr (0.0000, 0.0000, 0.3354) x2  4 Nb 2.65-2.66, 2 Tc 2.67, 2 Cr 2.71
Cr (0.5000, 0.0000, 0.5041) x2  4 Tc 2.63-2.69, 2 Nb 2.71, 2 Cr 2.71
Tc (0.0000, 0.0000, 0.6689) x2  4 Cr 2.67-2.69, 2 Nb 2.68, 2 Tc 2.75
Tc (0.5000, 0.0000, 0.8449) x2  2 Cr 2.63, 4 Nb 2.64-2.67, 2 Tc 2.75

Energy relative to the elements, eV/atom: -0.0016
Distance to the lowest polymorph of the same formula, meV per atom: 70
DOS(E_F), states/eV per cell: 8.1
VASP energy, eV/atom: -10.021

***

No. 6
The following is a DFT calculation (GGA-PBE) of crystalline Rb2NbSe5 at its relaxed geometry.

Lattice parameters (Å, degrees): 5.6537 8.8032 13.3989 90.00 90.00 90.00
With the nearest neighbours (Å) after each atom.
Space group Imm2 (No. 44)
Inequivalent atoms, fractional coordinates:
Rb (0.0000, 0.0000, 0.0000) x2  4 Se 3.63
Rb (0.0000, 0.0000, 0.4208) x2  6 Se 3.29-3.46
Nb (0.0000, 0.5000, 0.2229) x2  5 Se 2.37-2.54
Se (0.0000, 0.5000, 0.0460) x2  1 Nb 2.37
Se (0.2323, 0.2096, 0.7887) x8  1 Nb 2.54, 1 Se 2.63

Energy relative to the elements, uncorrected, eV/f.u.: -6.013
DOS(E_F), states/eV per cell: 9.3
VASP energy, eV/atom: -4.430